VASP calculation (GGA-PBE) on an optimized crystal structure of LiTbSmCr.

```
LiTbSmCr
1.0
0.000 3.634 3.634
3.634 0.000 3.634
3.634 3.634 0.000
Li Tb Sm Cr
1 1 1 1
Cartesian
0.000 0.000 0.000
5.452 5.452 5.452
1.817 1.817 1.817
3.634 3.634 3.634
```

Energy of formation in eV per atom: 0.190